Entry 1:
# Zn2SbTeSe (GGA-PBE, optimized geometry)
data_Zn2SbTeSe
_chemical_formula_sum 'Zn2 Sb1 Te1 Se1'
_space_group_name_H-M_alt 'P 4/m m m'
_space_group_IT_number 123
_space_group_name_Hall '-P 4 2'
_cell_length_a 5.152
_cell_length_b 5.152
_cell_length_c 5.420
_cell_angle_alpha 90.00
_cell_angle_beta 90.00
_cell_angle_gamma 90.00
loop_
_atom_site_label
_atom_site_type_symbol
_atom_site_fract_x
_atom_site_fract_y
_atom_site_fract_z
Zn1 Zn 0.000 0.500 0.000
Sb1 Sb 0.000 0.000 0.000
Te1 Te 0.500 0.500 0.500
Se1 Se 0.000 0.000 0.500
# Mass density = 5.3 g/cm3
# Energy relative to the elements, uncorrected = 0.3670 eV/atom

---

Entry 2:
# PaAgSn2Se5 (GGA-PBE, optimized geometry)
data_PaAgSn2Se5
_chemical_formula_sum 'Pa4 Ag4 Sn8 Se20'
_space_group_name_H-M_alt 'C m c 21'
_space_group_IT_number 36
_space_group_name_Hall 'C 2c -2'
_cell_length_a 4.180
_cell_length_b 18.256
_cell_length_c 13.859
_cell_angle_alpha 90.00
_cell_angle_beta 90.00
_cell_angle_gamma 90.00
loop_
_atom_site_label
_atom_site_type_symbol
_atom_site_fract_x
_atom_site_fract_y
_atom_site_fract_z
Pa1 Pa 0.000 0.215 0.000
Ag1 Ag 0.000 0.426 0.418
Sn1 Sn 0.000 0.090 0.246
Sn2 Sn 0.000 0.106 0.608
Se1 Se 0.000 0.065 0.039
Se2 Se 0.000 0.265 0.636
Se3 Se 0.000 0.284 0.368
Se4 Se 0.000 0.368 0.975
Se5 Se 0.000 0.489 0.248
# Mass density = 6.1 g/cm3
# Energy relative to the elements, uncorrected = -0.7263 eV/atom

---

Entry 3:
# NbCdRu2 (GGA-PBE, optimized geometry)
data_NbCdRu2
_chemical_formula_sum 'Nb1 Cd1 Ru2'
_space_group_name_H-M_alt 'P 4/m m m'
_space_group_IT_number 123
_space_group_name_Hall '-P 4 2'
_cell_length_a 3.185
_cell_length_b 3.185
_cell_length_c 6.528
_cell_angle_alpha 90.00
_cell_angle_beta 90.00
_cell_angle_gamma 90.00
loop_
_atom_site_label
_atom_site_type_symbol
_atom_site_fract_x
_atom_site_fract_y
_atom_site_fract_z
Nb1 Nb 0.000 0.000 0.000
Cd1 Cd 0.000 0.000 0.500
Ru1 Ru 0.500 0.500 0.228
# Mass density = 10.2 g/cm3
# Formation energy from the elements = -0.073 eV/atom

---

Entry 4:
# SrLi2Os (GGA-PBE, optimized geometry)
data_SrLi2Os
_chemical_formula_sum 'Sr1 Li2 Os1'
_space_group_name_H-M_alt 'P m m 2'
_space_group_IT_number 25
_space_group_name_Hall 'P 2 -2'
_cell_length_a 2.796
_cell_length_b 4.078
_cell_length_c 7.474
_cell_angle_alpha 90.00
_cell_angle_beta 90.00
_cell_angle_gamma 90.00
loop_
_atom_site_label
_atom_site_type_symbol
_atom_site_fract_x
_atom_site_fract_y
_atom_site_fract_z
Sr1 Sr 0.000 0.000 0.000
Li1 Li 0.000 0.000 0.589
Li2 Li 0.500 0.500 0.392
Os1 Os 0.500 0.500 0.741
# Mass density = 5.7 g/cm3
# Formation energy from the elements = 0.513 eV/atom

---

Entry 5:
# B5C7 (GGA-PBE, optimized geometry)
data_B5C7
_chemical_formula_sum 'B5 C7'
_space_group_name_H-M_alt 'P 3 m 1'
_space_group_IT_number 156
_space_group_name_Hall 'P 3 -2"'
_cell_length_a 2.5821
_cell_length_b 2.5821
_cell_length_c 13.6092
_cell_angle_alpha 90.00
_cell_angle_beta 90.00
_cell_angle_gamma 120.00
loop_
_atom_site_label
_atom_site_type_symbol
_atom_site_fract_x
_atom_site_fract_y
_atom_site_fract_z
B1 B 0.0000 0.0000 0.0000
B2 B 0.0000 0.0000 0.1248
B3 B 0.0000 0.0000 0.6389
B4 B 0.3333 0.6667 0.2035
B5 B 0.6667 0.3333 0.4776
C1 C 0.0000 0.0000 0.5231
C2 C 0.3333 0.6667 0.3206
C3 C 0.3333 0.6667 0.6890
C4 C 0.3333 0.6667 0.7986
C5 C 0.6667 0.3333 0.3549
C6 C 0.6667 0.3333 0.8396
C7 C 0.6667 0.3333 0.9492
# Mass density = 2.9 g/cm3
# Formation energy from the elements = 0.410 eV/atom

---

Entry 6:
# Tc2NiRu (GGA-PBE, optimized geometry)
data_Tc2NiRu
_chemical_formula_sum 'Tc2 Ni1 Ru1'
_space_group_name_H-M_alt 'P 4/m m m'
_space_group_IT_number 123
_space_group_name_Hall '-P 4 2'
_cell_length_a 3.133
_cell_length_b 3.133
_cell_length_c 5.607
_cell_angle_alpha 90.00
_cell_angle_beta 90.00
_cell_angle_gamma 90.00
loop_
_atom_site_label
_atom_site_type_symbol
_atom_site_fract_x
_atom_site_fract_y
_atom_site_fract_z
Tc1 Tc 0.000 0.000 0.218
Ni1 Ni 0.500 0.500 0.000
Ru1 Ru 0.500 0.500 0.500
# Mass density = 10.7 g/cm3
# Formation energy from the elements = 0.255 eV/atom